i:
An optimized crystal structure of Tb2MgHg3, computed with PBE-GGA.

a = 5.1279 Å, b = 5.1279 Å, c = 12.8141 Å
α = 90.00°, β = 90.00°, γ = 120.00°
Fractional coordinates of all 12 atoms:
Tb (0.0000, 0.0000, 0.5000)
Tb (0.3333, 0.6667, 0.1790)
Tb (0.6667, 0.3333, 0.8210)
Tb (0.0000, 0.0000, 0.0000)
Mg (0.3333, 0.6667, 0.6625)
Mg (0.6667, 0.3333, 0.3375)
Hg (0.3333, 0.6667, 0.4201)
Hg (0.6667, 0.3333, 0.0840)
Hg (0.0000, 0.0000, 0.7452)
Hg (0.0000, 0.0000, 0.2548)
Hg (0.3333, 0.6667, 0.9160)
Hg (0.6667, 0.3333, 0.5799)

Summary:
space group: P-3m1, No. 164

---

ii:
An optimized crystal structure of Tb2MgHg3, computed with PBE-GGA.

a = 3.6649 Å, b = 3.6649 Å, c = 10.9209 Å
α = 90.00°, β = 90.00°, γ = 90.00°
Fractional coordinates of all 6 atoms:
Tb (0.5000, 0.5000, 0.8253)
Tb (0.5000, 0.5000, 0.1747)
Mg (0.5000, 0.5000, 0.5000)
Hg (0.0000, 0.0000, 0.0000)
Hg (0.0000, 0.0000, 0.6536)
Hg (0.0000, 0.0000, 0.3464)

Summary:
space group: P4/mmm, No. 123

---

Winner for stability: i

---

i:
An optimized crystal structure of Tb3Mg2Hg3, computed with PBE-GGA.

a = 5.8855 Å, b = 8.8919 Å, c = 8.8919 Å
α = 120.00°, β = 90.00°, γ = 90.00°
Fractional coordinates of all 16 atoms:
Tb (0.7500, 0.2525, 0.0000)
Tb (0.7500, 0.7475, 0.7475)
Tb (0.7500, 0.0000, 0.2525)
Tb (0.2500, 0.7475, 0.0000)
Tb (0.2500, 0.2525, 0.2525)
Tb (0.2500, 0.0000, 0.7475)
Mg (0.0000, 0.3333, 0.6667)
Mg (0.5000, 0.6667, 0.3333)
Mg (0.0000, 0.6667, 0.3333)
Mg (0.5000, 0.3333, 0.6667)
Hg (0.7500, 0.6043, 0.0000)
Hg (0.7500, 0.3957, 0.3957)
Hg (0.7500, 0.0000, 0.6043)
Hg (0.2500, 0.3957, 0.0000)
Hg (0.2500, 0.6043, 0.6043)
Hg (0.2500, 0.0000, 0.3957)

Summary:
space group: P6_3/mcm, No. 193

---

ii:
An optimized crystal structure of Tb3Mg2Hg3, computed with PBE-GGA.

a = 3.7130 Å, b = 5.2658 Å, c = 10.9386 Å
α = 103.93°, β = 99.77°, γ = 90.00°
Fractional coordinates of all 8 atoms:
Tb (0.6250, 0.6250, 0.2501)
Tb (0.3750, 0.3750, 0.7499)
Tb (0.5000, 0.0000, 0.0000)
Mg (0.7383, 0.2383, 0.4766)
Mg (0.2617, 0.7617, 0.5234)
Hg (0.1268, 0.1268, 0.2536)
Hg (0.0000, 0.5000, 0.0000)
Hg (0.8732, 0.8732, 0.7464)

Summary:
space group: Immm, No. 71

---

Winner for stability: i